VASP calculation (GGA-PBE) on an optimized crystal structure of ZrScP2.

Lattice parameters (Å, degrees): 3.775 3.627 10.997 90.00 90.00 90.00
Space group Amm2 (No. 38)
Symmetry-distinct sites (fractional):
1 Zr 0.000 0.000 0.000 x2
2 Sc 0.500 0.000 0.275 x2
3 P 0.000 0.000 0.762 x2
4 P 0.500 0.000 0.517 x2

Output
Total DFT energy (no corrections) = -7.604 eV/atom
Formation energy from the elements = -1.1793 eV/atom